LaHoTlGe | PBE-GGA | relaxed

POSCAR file:
```
LaHoTlGe
1.0
7.559 0.000 0.000
0.000 7.559 0.000
0.000 0.000 7.559
La Ho Tl Ge
4 4 4 4
Cartesian
0.000 0.000 0.000 La
0.000 3.779 3.779 La
3.779 0.000 3.779 La
3.779 3.779 0.000 La
0.000 0.000 3.779 Ho
0.000 3.779 0.000 Ho
3.779 0.000 0.000 Ho
3.779 3.779 3.779 Ho
1.890 1.890 1.890 Tl
1.890 5.669 5.669 Tl
5.669 1.890 5.669 Tl
5.669 5.669 1.890 Tl
1.890 1.890 5.669 Ge
1.890 5.669 1.890 Ge
5.669 1.890 1.890 Ge
5.669 5.669 5.669 Ge
```

Calculated values
E ... -4.582 eV per atom
N(E_F) ... 2.71 states/eV/f.u.
Total magnetic moment ... 0.00 μB per atom
ΔH_f (0 K) ... -0.46 eV per atom